Here is a geometry-optimized Pr8Sm2Tm3 structure from Alexandria. Energies are from PBE.

Unit cell a=5.7398 b=7.7529 c=11.0435 alpha=110.55 beta=90.01 gamma=90.00
Fractional coordinates of all 13 atoms:
Pr: 0.0005 0.6729 0.3458
Pr: 0.9995 0.3271 0.6542
Pr: 0.9997 0.1288 0.2577
Pr: 0.0003 0.8712 0.7423
Pr: 0.4999 0.5995 0.7927
Pr: 0.4999 0.1932 0.7927
Pr: 0.5001 0.8068 0.2073
Pr: 0.5001 0.4005 0.2073
Sm: 0.4993 0.2392 0.4784
Sm: 0.5007 0.7608 0.5216
Tm: 0.5000 0.0000 0.0000
Tm: 0.0000 0.2852 0.0000
Tm: 0.0000 0.7148 0.0000

Calculated density: 6.98 g/cm3
E above lowest polymorph: 0.0381 eV per atom
Volume: 460 Å³ per cell
Fermi-level density of states: 1.386 states/eV/atom
Space-group type: C2/m (12)
Total magnetization: 0.000 μB/atom
DFT formation energy: 2.51 eV/f.u.

=====

Here is a geometry-optimized Pr2SmTm7 structure from Alexandria. Energies are from PBE.

Unit cell a=3.5079 b=14.7391 c=14.7391 alpha=154.69 beta=90.00 gamma=90.00
Fractional coordinates of all 10 atoms:
Pr: 0.5000 0.7083 0.2917
Pr: 0.5000 0.2917 0.7083
Sm: 0.0000 0.0000 0.0000
Tm: 0.0000 0.8165 0.1835
Tm: 0.0000 0.1835 0.8165
Tm: 0.5000 0.1485 0.3448
Tm: 0.5000 0.8515 0.6552
Tm: 0.5000 0.3448 0.1485
Tm: 0.5000 0.6552 0.8515
Tm: 0.5000 0.5000 0.5000

Calculated density: 8.23 g/cm3
E above lowest polymorph: 0.1387 eV per atom
Volume: 326 Å³ per cell
Fermi-level density of states: 1.602 states/eV/atom
Space-group type: Cmmm (65)
Total magnetization: 0.000 μB/atom
DFT formation energy: 1.64 eV/f.u.

=====

Here is a geometry-optimized Pr2Sm2Tm5 structure from Alexandria. Energies are from PBE.

Unit cell a=11.8124 b=6.7333 c=10.1120 alpha=109.45 beta=125.74 gamma=90.00
Fractional coordinates of all 18 atoms:
Pr: 0.1211 0.6847 0.2534
Pr: 0.8789 0.4314 0.7466
Pr: 0.6323 0.1847 0.2534
Pr: 0.3677 0.9314 0.7466
Sm: 0.0000 0.0062 0.0000
Sm: 0.5000 0.5062 0.0000
Sm: 0.2615 0.3583 0.5000
Sm: 0.7385 0.8583 0.5000
Tm: 0.2063 0.6528 0.8926
Tm: 0.7937 0.7601 0.1074
Tm: 0.1863 0.1528 0.8927
Tm: 0.8137 0.2601 0.1074
Tm: 0.3769 0.0336 0.2842
Tm: 0.6231 0.7494 0.7158
Tm: 0.4073 0.5336 0.2842
Tm: 0.5927 0.2494 0.7158
Tm: 0.0026 0.6596 0.5000
Tm: 0.9974 0.1596 0.5000

Calculated density: 7.96 g/cm3
E above lowest polymorph: 0.0000 eV per atom
Volume: 595 Å³ per cell
Fermi-level density of states: 1.642 states/eV/atom
Space-group type: Ima2 (46)
Total magnetization: 0.000 μB/atom
DFT formation energy: 1.86 eV/f.u.

=====

Here is a geometry-optimized PrSmTm structure from Alexandria. Energies are from PBE.

Unit cell a=6.7819 b=6.7819 c=15.9126 alpha=77.70 beta=77.70 gamma=60.00
Fractional coordinates of all 18 atoms:
Tm: 0.7372 0.7372 0.7884
Tm: 0.2628 0.2628 0.2116
Tm: 0.0405 0.0405 0.8784
Tm: 0.9595 0.9595 0.1216
Tm: 0.1822 0.1822 0.4533
Tm: 0.8178 0.8178 0.5467
Pr: 0.1968 0.7338 0.3356
Pr: 0.7338 0.1968 0.3356
Pr: 0.7338 0.7338 0.3356
Pr: 0.8032 0.2662 0.6644
Pr: 0.2662 0.8032 0.6644
Pr: 0.2662 0.2662 0.6644
Sm: 0.3916 0.3916 0.8253
Sm: 0.6085 0.6085 0.1747
Sm: 0.0000 0.5000 0.0000
Sm: 0.5000 0.0000 0.0000
Sm: 0.5000 0.5000 0.0000
Sm: 0.5000 0.5000 0.5000

Calculated density: 7.46 g/cm3
E above lowest polymorph: 0.2228 eV per atom
Volume: 614 Å³ per cell
Fermi-level density of states: 1.434 states/eV/atom
Space-group type: R-3m (166)
Total magnetization: 0.000 μB/atom
DFT formation energy: 0.74 eV/f.u.

=====

Here is a geometry-optimized PrSm4Tm15 structure from Alexandria. Energies are from PBE.

Unit cell a=4.9912 b=4.9912 c=24.8762 alpha=90.00 beta=90.00 gamma=90.00
Fractional coordinates of all 20 atoms:
Pr: 0.0000 0.0000 0.0000
Sm: 0.0000 0.0000 0.2004
Sm: 0.0000 0.0000 0.4002
Sm: 0.0000 0.0000 0.5998
Sm: 0.0000 0.0000 0.7996
Tm: 0.5000 0.5000 0.0000
Tm: 0.5000 0.5000 0.2007
Tm: 0.5000 0.5000 0.4001
Tm: 0.5000 0.5000 0.5999
Tm: 0.5000 0.5000 0.7993
Tm: 0.5000 0.0000 0.1009
Tm: 0.5000 0.0000 0.3003
Tm: 0.5000 0.0000 0.5000
Tm: 0.5000 0.0000 0.6997
Tm: 0.5000 0.0000 0.8991
Tm: 0.0000 0.5000 0.1009
Tm: 0.0000 0.5000 0.3003
Tm: 0.0000 0.5000 0.5000
Tm: 0.0000 0.5000 0.6997
Tm: 0.0000 0.5000 0.8991

Calculated density: 8.78 g/cm3
Volume: 620 Å³ per cell
Fermi-level density of states: 1.408 states/eV/atom
Space-group type: P4/mmm (123)
Total magnetization: 0.000 μB/atom
DFT formation energy: 0.53 eV/f.u.

=====

Here is a geometry-optimized PrSm5Tm12 structure from Alexandria. Energies are from PBE.

Unit cell a=10.5928 b=10.6036 c=6.1273 alpha=73.41 beta=90.00 gamma=60.03
Fractional coordinates of all 18 atoms:
Pr: 0.0000 0.0000 0.0000
Sm: 0.5000 0.0000 0.5000
Sm: 0.1671 0.6657 0.5009
Sm: 0.8329 0.3343 0.4991
Sm: 0.6667 0.6666 0.9995
Sm: 0.3333 0.3334 0.0005
Tm: 0.8313 0.0000 0.5000
Tm: 0.1687 0.0000 0.5000
Tm: 0.6672 0.0000 0.0000
Tm: 0.3328 0.0000 0.0000
Tm: 0.3355 0.6658 0.0003
Tm: 0.9986 0.6658 0.0004
Tm: 0.0014 0.3342 0.9996
Tm: 0.6645 0.3342 0.9997
Tm: 0.5011 0.3334 0.5005
Tm: 0.8344 0.6666 0.4996
Tm: 0.1656 0.3334 0.5004
Tm: 0.4989 0.6666 0.4995

Calculated density: 8.61 g/cm3
Volume: 563 Å³ per cell
Fermi-level density of states: 1.257 states/eV/atom
Space-group type: C2/m (12)
Total magnetization: 0.000 μB/atom
DFT formation energy: 0.42 eV/f.u.

=====

Here is a geometry-optimized Pr12Sm5Tm2 structure from Alexandria. Energies are from PBE.

Unit cell a=7.6071 b=10.4229 c=10.1684 alpha=65.63 beta=90.00 gamma=111.40
Fractional coordinates of all 19 atoms:
Pr: 0.9939 0.9879 0.2123
Pr: 0.0895 0.6808 0.8492
Pr: 0.5913 0.6808 0.8492
Pr: 0.0736 0.6689 0.4988
Pr: 0.5953 0.6689 0.4988
Pr: 0.5084 0.0168 0.6733
Pr: 0.4916 0.9832 0.3267
Pr: 0.9264 0.3311 0.5012
Pr: 0.4047 0.3311 0.5012
Pr: 0.9105 0.3192 0.1508
Pr: 0.4087 0.3192 0.1508
Pr: 0.0061 0.0121 0.7877
Sm: 0.1744 0.3487 0.8306
Sm: 0.3228 0.6456 0.1950
Sm: 0.0000 0.0000 0.5000
Sm: 0.6772 0.3544 0.8050
Sm: 0.8256 0.6513 0.1694
Tm: 0.7006 0.0000 0.0000
Tm: 0.2994 0.0000 0.0000

Calculated density: 6.86 g/cm3
E above lowest polymorph: 0.0413 eV per atom
Volume: 673 Å³ per cell
Fermi-level density of states: 1.652 states/eV/atom
Space-group type: C2/m (12)
Total magnetization: 0.000 μB/atom
DFT formation energy: 3.10 eV/f.u.

=====

Here is a geometry-optimized Pr4Sm2Tm3 structure from Alexandria. Energies are from PBE.

Unit cell a=6.2563 b=5.1344 c=10.8536 alpha=90.00 beta=73.58 gamma=65.80
Fractional coordinates of all 9 atoms:
Pr: 0.6675 0.6664 0.8879
Pr: 0.9955 0.0022 0.3342
Pr: 0.0045 0.9978 0.6658
Pr: 0.3325 0.3336 0.1121
Sm: 0.3363 0.3319 0.7748
Sm: 0.6637 0.6681 0.2252
Tm: 0.3312 0.3343 0.4468
Tm: 0.0000 0.0000 0.0000
Tm: 0.6688 0.6657 0.5532

Calculated density: 7.53 g/cm3
E above lowest polymorph: 0.0000 eV per atom
Volume: 302 Å³ per cell
Fermi-level density of states: 1.343 states/eV/atom
Space-group type: C2/m (12)
Total magnetization: 0.000 μB/atom
DFT formation energy: 0.18 eV/f.u.

=====

Here is a geometry-optimized Pr16Sm7Tm6 structure from Alexandria. Energies are from PBE.

Unit cell a=11.4074 b=11.4074 c=11.4074 alpha=60.00 beta=60.00 gamma=60.00
Fractional coordinates of all 29 atoms:
Pr: 0.8750 0.8750 0.3748
Pr: 0.8750 0.8750 0.8750
Pr: 0.8750 0.3748 0.8750
Pr: 0.3748 0.8750 0.8750
Pr: 0.1250 0.1250 0.1250
Pr: 0.1250 0.1250 0.6252
Pr: 0.1250 0.6252 0.1250
Pr: 0.6252 0.1250 0.1250
Pr: 0.6495 0.6495 0.0515
Pr: 0.6495 0.6495 0.6495
Pr: 0.6495 0.0515 0.6495
Pr: 0.0515 0.6495 0.6495
Pr: 0.3505 0.3505 0.3505
Pr: 0.3505 0.3505 0.9485
Pr: 0.3505 0.9485 0.3505
Pr: 0.9485 0.3505 0.3505
Sm: 0.0000 0.0000 0.0000
Sm: 0.5000 0.0000 0.5000
Sm: 0.0000 0.5000 0.0000
Sm: 0.0000 0.5000 0.5000
Sm: 0.5000 0.0000 0.0000
Sm: 0.0000 0.0000 0.5000
Sm: 0.5000 0.5000 0.0000
Tm: 0.2620 0.7380 0.2620
Tm: 0.7380 0.2620 0.7380
Tm: 0.7380 0.2620 0.2620
Tm: 0.2620 0.7380 0.7380
Tm: 0.7380 0.7380 0.2620
Tm: 0.2620 0.2620 0.7380

Calculated density: 6.84 g/cm3
Volume: 1050 Å³ per cell
Fermi-level density of states: 1.269 states/eV/atom
Space-group type: Fm-3m (225)
Total magnetization: 0.000 μB/atom
DFT formation energy: 6.29 eV/f.u.